(1)
BeMoS2N (GGA-PBEsol, optimized geometry); energy = -6.129 eV per atom; SG = P4/mmm (123); E_form (uncorrected) = 0.483 eV per atom
1.0
4.434 0.000 0.000
0.000 4.434 0.000
0.000 0.000 3.086
Be Mo S N
1 1 2 1
Cartesian
0.000 0.000 0.000
2.217 2.217 1.543
0.000 2.217 0.000
2.217 0.000 0.000
0.000 0.000 1.543

=====

(2)
BeMoSe2N (GGA-PBEsol, optimized geometry); energy = -5.927 eV per atom; SG = P4/mmm (123); E_form (uncorrected) = 0.472 eV per atom
1.0
4.970 0.000 0.000
0.000 4.970 0.000
0.000 0.000 3.719
Be Mo Se N
1 1 2 1
Cartesian
0.000 0.000 0.000
2.485 2.485 1.859
0.000 2.485 1.859
2.485 0.000 1.859
2.485 2.485 0.000

=====

(3)
Be2NbSbMo (GGA-PBEsol, optimized geometry); energy = -5.305 eV per atom; SG = P4/mmm (123); E_form (uncorrected) = 1.725 eV per atom
1.0
4.285 0.000 0.000
0.000 4.285 0.000
0.000 0.000 5.178
Be Nb Sb Mo
2 1 1 1
Cartesian
0.000 2.143 0.000
2.143 0.000 0.000
0.000 0.000 2.589
0.000 0.000 0.000
2.143 2.143 2.589

=====

(4)
BeNiMo2 (GGA-PBEsol, optimized geometry); formation energy = 0.08 eV/atom; energy = -8.341 eV per atom; SG = C2/m (12)
1.0
5.055 0.000 0.000
0.000 7.651 0.000
-0.010 0.000 2.579
Be Ni Mo
2 2 4
Cartesian
0.000 0.000 0.000
2.527 3.826 0.000
0.000 3.826 0.000
2.527 0.000 0.000
1.259 1.913 1.290
1.259 5.738 1.290
3.786 1.913 1.290
3.786 5.738 1.290

=====

(5)
BeNi2Mo (GGA-PBEsol, optimized geometry); formation energy = -0.02 eV/atom; energy = -7.046 eV per atom; SG = Cm (8)
1.0
8.221 0.000 0.000
0.000 2.545 0.000
-0.816 0.000 4.291
Be Ni Mo
2 4 2
Cartesian
0.000 0.000 0.000
4.111 1.273 0.000
-0.324 1.273 2.384
1.504 0.000 3.596
3.786 0.000 2.384
5.614 1.273 3.596
1.877 1.273 1.413
5.988 0.000 1.413

=====

(6)
BeNi2Mo (GGA-PBEsol, optimized geometry); formation energy = -0.06 eV/atom; energy = -7.085 eV per atom; SG = P2/m (10)
1.0
2.499 0.000 0.000
0.000 3.726 0.000
-1.238 0.000 4.738
Be Ni Mo
1 2 1
Cartesian
0.000 0.000 0.000
0.731 1.863 1.097
0.529 1.863 3.641
-0.619 0.000 2.369

=====

(7)
BeNi2Mo (GGA-PBEsol, optimized geometry); formation energy = -0.06 eV/atom; energy = -7.084 eV per atom; SG = Immm (71)
1.0
2.680 0.000 0.000
0.000 4.068 0.000
0.000 0.000 7.927
Be Ni Mo
2 4 2
Cartesian
0.000 0.000 0.000
1.340 2.034 3.963
0.000 2.034 2.189
0.000 2.034 5.738
1.340 0.000 1.774
1.340 0.000 6.153
0.000 0.000 3.963
1.340 2.034 0.000

=====

(8)
BeNiMo2 (GGA-PBEsol, optimized geometry); formation energy = 0.18 eV/atom; energy = -8.243 eV per atom; SG = P4/mmm (123)
1.0
4.430 0.000 0.000
0.000 4.430 0.000
0.000 0.000 2.535
Be Ni Mo
1 1 2
Cartesian
0.000 0.000 0.000
2.215 2.215 0.000
0.000 2.215 1.268
2.215 0.000 1.268

=====

(9)
BeNiMo2 (GGA-PBEsol, optimized geometry); formation energy = -0.01 eV/atom; energy = -8.433 eV per atom; SG = Pm (6)
1.0
2.583 0.000 0.000
0.000 4.039 0.000
-0.721 0.000 4.770
Be Ni Mo
1 1 2
Cartesian
0.000 0.000 0.000
1.918 2.019 3.601
0.576 0.000 2.455
1.365 2.019 1.020

=====

(10)
BeNiMo2 (GGA-PBEsol, optimized geometry); formation energy = 0.06 eV/atom; energy = -8.365 eV per atom; SG = P4/mmm (123)
1.0
3.580 0.000 0.000
0.000 3.580 0.000
0.000 0.000 3.890
Be Ni Mo
1 1 2
Cartesian
0.000 0.000 0.000
1.790 1.790 0.000
0.000 1.790 1.945
1.790 0.000 1.945

=====

(11)
BeNi2Mo (GGA-PBEsol, optimized geometry); formation energy = 0.12 eV/atom; energy = -6.905 eV per atom; SG = R3m (160)
1.0
2.580 0.000 0.000
-1.290 2.234 0.000
0.000 0.000 23.756
Be Ni Mo
3 6 3
Cartesian
0.000 0.000 0.000
0.000 1.489 15.838
1.290 0.745 7.919
0.000 0.000 6.241
0.000 0.000 12.177
0.000 1.489 4.258
0.000 1.489 22.079
1.290 0.745 14.160
1.290 0.745 20.095
0.000 0.000 17.988
0.000 1.489 10.069
1.290 0.745 2.150

=====

(12)
BeNiMo (GGA-PBEsol, optimized geometry); formation energy = -0.09 eV/atom; energy = -7.394 eV per atom; SG = P-6m2 (187)
1.0
3.896 0.000 0.000
-1.948 3.374 0.000
0.000 0.000 2.555
Be Ni Mo
1 1 1
Cartesian
0.000 0.000 0.000
0.000 2.250 0.000
1.948 1.125 1.278

=====

(13)
BeNi2Mo (GGA-PBEsol, optimized geometry); formation energy = -0.27 eV/atom; energy = -7.289 eV per atom; SG = P4/mmm (123)
1.0
2.564 0.000 0.000
0.000 2.564 0.000
0.000 0.000 6.470
Be Ni Mo
1 2 1
Cartesian
0.000 0.000 0.000
1.282 1.282 1.313
1.282 1.282 5.157
0.000 0.000 3.235

=====

(14)
TiBeNi2Mo (GGA-PBEsol, optimized geometry); formation energy = 1.40 eV/atom; energy = -5.880 eV per atom; SG = P4/mmm (123)
1.0
4.208 0.000 0.000
0.000 4.208 0.000
0.000 0.000 4.448
Ti Be Ni Mo
1 1 2 1
Cartesian
0.000 0.000 0.000
2.104 2.104 2.224
0.000 2.104 0.000
2.104 0.000 0.000
0.000 0.000 2.224

=====

(15)
BeMoO2 (GGA-PBEsol, optimized geometry); energy = -8.052 eV per atom; SG = I-42d (122); E_form (uncorrected) = -1.485 eV per atom
1.0
4.430 0.000 0.000
0.000 4.430 0.000
0.000 0.000 7.615
Be Mo O
4 4 8
Cartesian
0.000 0.000 0.000
0.000 2.215 1.904
2.215 0.000 5.711
2.215 2.215 3.807
0.000 0.000 3.807
0.000 2.215 5.711
2.215 0.000 1.904
2.215 2.215 0.000
0.717 1.108 0.952
1.108 2.932 2.856
1.108 3.713 6.663
1.498 1.108 4.759
2.932 3.323 4.759
3.323 0.717 6.663
3.323 1.498 2.856
3.713 3.323 0.952